No. 1
Below is crystalline Tm2HBr at its relaxed geometry, with properties calculated at the PBE-GGA level.

Unit cell a=7.5171 b=7.5171 c=7.5171 alpha=27.55 beta=27.55 gamma=27.55
With the nearest neighbours (Å) after each atom.
Atoms (fractional coordinates):
Tm (0.2256, 0.2256, 0.2256)  3 H 2.43
Tm (0.7744, 0.7744, 0.7744)  3 H 2.43
H (0.5000, 0.5000, 0.5000)  6 Tm 2.43
Br (0.0000, 0.0000, 0.0000)  6 Tm 3.12

---

No. 2
Below is crystalline SiTcPt2 at its relaxed geometry, with properties calculated at the PBE-GGA level.

Unit cell a=4.6156 b=4.6156 c=4.6156 alpha=128.52 beta=128.52 gamma=75.78
With the nearest neighbours (Å) after each atom.
Atoms (fractional coordinates):
Si (0.0000, 0.0000, 0.0000)  8 Pt 2.71-2.83, 4 Tc 2.71
Tc (0.2500, 0.7500, 0.5000)  8 Pt 2.71-2.83, 4 Si 2.71
Pt (0.5000, 0.5000, 0.0000)  4 Pt 2.71, 4 Tc 2.71, 4 Si 2.83
Pt (0.7500, 0.2500, 0.5000)  4 Pt 2.71, 4 Si 2.71, 4 Tc 2.83

As for the uncorrected formation energy: -0.156 eV per atom.

---

No. 3
Below is crystalline LiTbThMo at its relaxed geometry, with properties calculated at the PBE-GGA level.

Unit cell a=5.0525 b=5.0525 c=5.0525 alpha=60.00 beta=60.00 gamma=60.00
With the nearest neighbours (Å) after each atom.
Atoms (fractional coordinates):
Li (0.0000, 0.0000, 0.0000)  4 Tb 3.09, 4 Th 3.09
Tb (0.2500, 0.2500, 0.2500)  4 Mo 3.09, 4 Li 3.09
Th (0.7500, 0.7500, 0.7500)  4 Mo 3.09, 4 Li 3.09
Mo (0.5000, 0.5000, 0.5000)  4 Tb 3.09, 4 Th 3.09

For the formation energy, the calculation gives 0.6 eV per formula unit.

---

No. 4
Below is crystalline La6Tb2Cd at its relaxed geometry, with properties calculated at the PBE-GGA level.

Unit cell a=9.8983 b=9.8983 c=3.6703 alpha=90.00 beta=90.00 gamma=120.00
With the nearest neighbours (Å) after each atom.
Atoms (fractional coordinates):
La (0.0000, 0.3679, 0.0000)  4 Tb 3.64, 1 Cd 3.64, 8 La 3.67-3.87
La (0.0000, 0.7125, 0.5000)  2 Cd 3.39, 2 Tb 3.55, 6 La 3.67-3.79
La (0.2875, 0.2875, 0.5000)  2 Cd 3.39, 2 Tb 3.55, 6 La 3.67-3.79
La (0.3679, 0.0000, 0.0000)  4 Tb 3.64, 1 Cd 3.64, 8 La 3.67-3.87
La (0.6321, 0.6321, 0.0000)  4 Tb 3.64, 1 Cd 3.64, 8 La 3.67-3.87
La (0.7125, 0.0000, 0.5000)  2 Cd 3.39, 2 Tb 3.55, 6 La 3.67-3.79
Tb (0.3333, 0.6667, 0.5000)  9 La 3.55-3.64, 2 Tb 3.67
Tb (0.6667, 0.3333, 0.5000)  9 La 3.55-3.64, 2 Tb 3.67
Cd (0.0000, 0.0000, 0.0000)  9 La 3.39-3.64, 2 Cd 3.67

For the formation energy, the calculation gives -0.5 eV per formula unit.

---

In the order shown, the computed total magnetic moment values come out to 0.000; 0.000; 0.000; 0.000 μB/cell.
In the order shown, the computed raw total energy values come out to -16.57; -28.50; -24.21; -40.22 eV per cell.